# 1
! Be3CrBi GGA-PBE relaxed; values from VASP
! offset from the most stable computed form	0	meV per atom
! uncorrected energy	-19.38	eV for the cell shown
&SYSTEM
  ibrav = 0, nat = 5, ntyp = 3
/
ATOMIC_SPECIES
Cr 52.00 Cr.upf
Bi 208.98 Bi.upf
Be 9.01 Be.upf
ATOMIC_POSITIONS angstrom
Cr 0.0000 0.0000 0.0000
Bi 2.1421 2.1421 2.1421
Be 0.0000 2.1421 0.0000
Be 0.0000 0.0000 2.1421
Be 2.1421 0.0000 0.0000
CELL_PARAMETERS angstrom
4.2843 0.0000 0.0000
0.0000 4.2843 0.0000
0.0000 0.0000 4.2843

***

# 2
! KLaP2S8 GGA-PBE relaxed; values from VASP
! energy relative to the elements, uncorrected	-612	meV per atom
! uncorrected energy	-57.21	eV for the cell shown
&SYSTEM
  ibrav = 0, nat = 12, ntyp = 4
/
ATOMIC_SPECIES
K 39.10 K.upf
La 138.91 La.upf
P 30.97 P.upf
S 32.06 S.upf
ATOMIC_POSITIONS angstrom
K 0.0000 0.0000 0.0000
La -0.0475 -0.0713 4.8645
P -2.3223 2.7089 2.5133
P -3.5971 -0.7228 7.1900
S -3.6170 -0.7526 9.2280
S -2.1982 0.7419 3.0609
S -5.4515 -0.1873 3.0155
S -2.3023 2.7388 0.4752
S -0.4679 2.1734 6.6877
S -3.7212 1.2442 6.6423
S -2.8997 4.5262 6.6984
S -3.0197 -2.5401 3.0048
CELL_PARAMETERS angstrom
-1.0693 6.1078 0.0790
-4.7550 -3.9791 -0.1047
-0.0951 -0.1425 9.7289

***

# 3
! PrErIrPd GGA-PBE relaxed; values from VASP
! uncorrected energy	-26.47	eV for the cell shown
&SYSTEM
  ibrav = 0, nat = 4, ntyp = 4
/
ATOMIC_SPECIES
Pr 140.91 Pr.upf
Ir 192.22 Ir.upf
Pd 106.42 Pd.upf
Er 167.26 Er.upf
ATOMIC_POSITIONS angstrom
Pr 7.4754 4.3159 3.0518
Ir 0.0000 0.0000 0.0000
Pd 4.9836 2.8773 2.0345
Er 2.4918 1.4386 1.0173
CELL_PARAMETERS angstrom
4.9836 0.0000 0.0000
2.4918 4.3159 0.0000
2.4918 1.4386 4.0691

***

# 4
! Ga4PdPt5 GGA-PBE relaxed; values from VASP
! uncorrected energy	-103.35	eV for the cell shown
&SYSTEM
  ibrav = 0, nat = 20, ntyp = 3
/
ATOMIC_SPECIES
Ga 69.72 Ga.upf
Pd 106.42 Pd.upf
Pt 195.08 Pt.upf
ATOMIC_POSITIONS angstrom
Ga -5.9021 -5.6171 0.2683
Ga 2.5284 -5.0744 -3.2664
Ga 0.0584 -2.4314 -2.2690
Ga -4.2382 -3.0332 -2.4577
Ga 1.8634 -4.3178 0.1402
Ga 0.6658 -8.2357 -1.3001
Ga -2.4333 -4.9196 -0.0486
Ga 0.2484 -6.8256 2.7860
Pd -2.3306 -1.2087 -2.5683
Pd -0.0443 -6.1423 0.2507
Pt 0.9530 -8.6538 1.2477
Pt -1.8910 -5.6106 2.3963
Pt 0.1733 -4.3339 -4.0021
Pt 2.4414 -6.3425 -1.1907
Pt -0.4026 -3.2993 -0.0422
Pt 0.7529 -6.9676 -3.3759
Pt -1.9723 -4.0517 -2.2754
Pt -2.5481 -3.0171 1.6846
Pt -3.7628 -6.8320 0.6580
Pt -1.0376 -9.7480 -0.4425
CELL_PARAMETERS angstrom
-3.5199 -1.8256 -3.8789
5.5691 -5.9591 -2.2490
-3.2789 -5.0917 5.3718

***

# 5
! AcSiPdPb GGA-PBE relaxed; values from VASP
! energy relative to the elements, uncorrected	-258	meV per atom
! uncorrected energy	-19.46	eV for the cell shown
&SYSTEM
  ibrav = 0, nat = 4, ntyp = 4
/
ATOMIC_SPECIES
Pb 207.20 Pb.upf
Ac 227.00 Ac.upf
Si 28.09 Si.upf
Pd 106.42 Pd.upf
ATOMIC_POSITIONS angstrom
Pb 0.0000 0.0000 0.0000
Ac 5.2078 3.0067 2.1261
Si 7.8117 4.5101 3.1891
Pd 2.6039 1.5034 1.0630
CELL_PARAMETERS angstrom
5.2078 0.0000 0.0000
2.6039 4.5101 0.0000
2.6039 1.5034 4.2522

***

# 6
! LiGa3Cu2 GGA-PBE relaxed; values from VASP
! offset from the most stable computed form	0	meV per atom
! uncorrected energy	-39.91	eV for the cell shown
&SYSTEM
  ibrav = 0, nat = 12, ntyp = 3
/
ATOMIC_SPECIES
Li 6.94 Li.upf
Ga 69.72 Ga.upf
Cu 63.55 Cu.upf
ATOMIC_POSITIONS angstrom
Li -0.6550 0.9135 4.1822
Li 7.2165 3.4266 8.0846
Ga 4.8562 4.2326 6.6916
Ga 2.0777 3.6514 7.6041
Ga 1.1278 3.0434 4.8431
Ga 5.4338 1.2967 7.4237
Ga 4.4839 0.6887 4.6627
Ga 1.7054 0.1075 5.5751
Cu 2.7867 4.6873 5.5063
Cu 3.7749 -0.3472 6.7605
Cu 4.4566 3.1061 8.9698
Cu 2.1050 1.2340 3.2970
CELL_PARAMETERS angstrom
-1.9237 0.5076 3.5533
4.9611 -1.7353 5.2674
3.5241 5.5678 3.4461

***

# 7
! HfBeO GGA-PBE relaxed; values from VASP
! energy relative to the elements, uncorrected	-1247	meV per atom
! uncorrected energy	-89.51	eV for the cell shown
&SYSTEM
  ibrav = 0, nat = 12, ntyp = 3
/
ATOMIC_SPECIES
Be 9.01 Be.upf
O 16.00 O.upf
Hf 178.49 Hf.upf
ATOMIC_POSITIONS angstrom
Be -1.3382 -4.0498 -1.8559
Be -2.2971 -6.8417 0.6016
Be 1.9050 -2.4523 -4.4133
Be 0.9462 -5.2442 -1.9558
O 0.2123 -3.9463 -1.0391
O -0.8566 -6.6599 1.5884
O 0.4646 -2.6341 -5.4001
O -0.6043 -5.3477 -2.7725
Hf -0.6688 -4.6921 0.7082
Hf 0.3246 -1.9247 -1.8025
Hf -0.7166 -7.3692 -2.0092
Hf 0.2767 -4.6018 -4.5199
CELL_PARAMETERS angstrom
-3.0059 -0.4833 -1.7220
3.1100 -2.2145 -4.8072
-0.4962 -6.5961 2.7176

***

# 8
! HgSe GGA-PBE relaxed; values from VASP
! energy relative to the elements, uncorrected	39	meV per atom
! uncorrected energy	-7.42	eV for the cell shown
&SYSTEM
  ibrav = 0, nat = 4, ntyp = 2
/
ATOMIC_SPECIES
Hg 200.59 Hg.upf
Se 78.96 Se.upf
ATOMIC_POSITIONS angstrom
Hg 5.2868 2.2521 0.2070
Hg 7.9547 3.3423 3.0953
Se 5.5499 1.7356 3.0731
Se 9.0300 1.2298 0.0067
CELL_PARAMETERS angstrom
6.4966 -0.1271 -0.2366
5.1589 2.5017 -0.0141
-1.1298 2.2486 6.0080